{
  "formula": "As2HSeBr",
  "functional": "PBE-GGA",
  "state": "optimized geometry",
  "e_tot_ev_per_atom": -2.891,
  "vol_a3_per_atom": 22.7,
  "sg": "P4/mmm, No. 123",
  "lattice_angstrom": [[-3.829, -0.559, -0.446], [-0.119, -1.900, 3.398], [-1.354, 6.437, 3.552]],
  "species": ["H", "As", "As", "Se", "Br"],
  "fractional_positions": [[0.000, 0.000, 0.000], [0.000, 0.500, 0.000], [0.500, 0.000, 0.000], [0.500, 0.500, 0.500], [0.000, 0.000, 0.500]]
}